No. 1
AcNdDy3Y | Alexandria | PBE-GGA | relaxed; DFT formation energy = 22.0 kJ per mole of atoms; Fermi-level density of states = 9.918 states/eV/f.u.; calculated volume = 423.97 Å³/cell; M_tot = 0.0 μB/f.u.
1.0
-5.012 -0.347 -2.775
1.913 -9.373 3.651
-3.627 1.850 6.319
Nd Dy Y Ac
2 6 2 2
Direct
0.049 0.098 0.286
0.951 0.902 0.714
0.166 0.333 0.718
0.781 0.563 0.754
0.478 0.955 0.289
0.834 0.667 0.282
0.522 0.045 0.711
0.219 0.437 0.246
0.346 0.693 0.543
0.654 0.307 0.457
0.642 0.284 0.024
0.358 0.716 0.976

---

No. 2
AcNdDy2Y | Alexandria | PBE-GGA | relaxed; DFT formation energy = 36.0 kJ per mole of atoms; Fermi-level density of states = 8.624 states/eV/f.u.; calculated volume = 371.66 Å³/cell; M_tot = 0.0 μB/f.u.
1.0
-1.124 -1.060 -6.292
6.456 -0.387 -1.088
-3.492 -8.420 2.043
Ac Y Nd Dy
2 2 2 4
Direct
0.750 0.342 0.684
0.250 0.658 0.316
0.750 0.770 0.540
0.250 0.230 0.460
0.750 0.152 0.305
0.250 0.848 0.695
0.500 0.245 0.000
0.000 0.245 0.000
0.000 0.755 0.000
0.500 0.755 0.000

---

No. 3
Ac2NdDyY5 | Alexandria | PBE-GGA | relaxed; DFT formation energy = 14.8 kJ per mole of atoms; Fermi-level density of states = 12.663 states/eV/f.u.; calculated volume = 643.33 Å³/cell; M_tot = 0.0 μB/f.u.
1.0
-4.368 -2.974 -2.438
7.523 -7.042 2.060
-4.341 -1.741 9.898
Nd Y Dy Ac
2 10 2 4
Direct
0.416 0.832 0.461
0.584 0.168 0.961
0.717 0.434 0.812
0.981 0.962 0.524
0.297 0.595 0.706
0.019 0.038 0.024
0.481 0.962 0.737
0.703 0.405 0.206
0.283 0.566 0.312
0.613 0.225 0.520
0.519 0.038 0.237
0.387 0.775 0.020
0.203 0.407 0.012
0.797 0.593 0.512
0.887 0.774 0.231
0.885 0.770 0.819
0.115 0.230 0.319
0.113 0.226 0.731

---

No. 4
AcNdDy2Y6 | Alexandria | PBE-GGA | relaxed; DFT formation energy = 12.3 kJ per mole of atoms; Fermi-level density of states = 15.934 states/eV/f.u.; calculated volume = 683.88 Å³/cell; M_tot = 0.0 μB/f.u.
1.0
-3.490 4.579 -7.711
-6.193 -6.469 -0.483
-1.685 6.933 5.434
Ac Dy Y Nd
2 4 12 2
Direct
0.250 0.968 0.032
0.750 0.032 0.968
0.449 0.802 0.691
0.949 0.691 0.802
0.551 0.198 0.309
0.051 0.309 0.198
0.821 0.443 0.983
0.558 0.752 0.123
0.614 0.487 0.710
0.942 0.877 0.248
0.114 0.710 0.487
0.886 0.290 0.513
0.442 0.248 0.877
0.179 0.557 0.017
0.321 0.983 0.443
0.386 0.513 0.290
0.679 0.017 0.557
0.058 0.123 0.752
0.250 0.411 0.589
0.750 0.589 0.411

---

No. 5
AcNd3Dy2Y6 | Alexandria | PBE-GGA | relaxed; DFT formation energy = 2.1 kJ per mole of atoms; Fermi-level density of states = 15.183 states/eV/f.u.; calculated volume = 403.61 Å³/cell; M_tot = 0.0 μB/f.u.
1.0
6.289 0.000 0.011
-3.143 5.447 0.011
-1.064 -1.843 11.775
Dy Nd Y Ac
2 3 6 1
Direct
0.667 0.333 0.000
0.333 0.667 0.000
0.500 0.500 0.500
0.833 0.167 0.500
0.167 0.833 0.500
0.916 0.580 0.749
0.580 0.916 0.749
0.084 0.420 0.251
0.252 0.252 0.749
0.748 0.748 0.251
0.420 0.084 0.251
0.000 0.000 0.000

---

No. 6
Ac2NdDy3Y6 | Alexandria | PBE-GGA | relaxed; DFT formation energy = 3.9 kJ per mole of atoms; Fermi-level density of states = 16.261 states/eV/f.u.; calculated volume = 409.64 Å³/cell; M_tot = 0.0 μB/f.u.
1.0
6.340 0.000 0.010
-3.168 5.491 0.010
-1.074 -1.860 11.760
Y Ac Dy Nd
6 2 3 1
Direct
0.245 0.245 0.742
0.582 0.914 0.742
0.418 0.086 0.258
0.914 0.582 0.742
0.755 0.755 0.258
0.086 0.418 0.258
0.667 0.333 0.000
0.333 0.667 0.000
0.167 0.833 0.500
0.833 0.167 0.500
0.500 0.500 0.500
0.000 0.000 0.000

---

Question: Among the records above, which one has the lowest DFT formation energy?
Answer: AcNd3Dy2Y6

---

Question: Which of these has the lowest DFT formation energy?
Answer: AcNd3Dy2Y6

---

Question: Which formula does entry 3 have?
Answer: Ac2NdDyY5

---

Question: Number 3 is which compound?
Answer: Ac2NdDyY5